No. 1
## K3LiH4 (PBE-GGA)

Data for a relaxed structure of K3LiH4.

Summary:
Relative energy among the computed polymorphs, meV/atom: 20.7

Cell: 6.062 6.062 6.062 Å, 120.23 90.54 119.15°
Sites, in units of the cell vectors:
K: 0.000 0.000 0.000
K: 0.238 0.479 0.759
K: 0.720 0.479 0.241
Li: 0.533 0.033 0.500
H: 0.197 0.885 0.311
H: 0.574 0.885 0.689
H: 0.709 0.444 0.735
H: 0.709 0.973 0.265

No. 2
## Mg2ScTl (PBE-GGA)

Data for a relaxed structure of Mg2ScTl.

Summary:
Relative energy among the computed polymorphs, meV/atom: 138.1
Energy relative to the elements, eV/atom: -0.05

Cell: 5.450 5.450 5.575 Å, 101.80 101.80 36.00°
Sites, in units of the cell vectors:
Mg: 0.000 0.000 0.000
Mg: 0.249 0.249 0.785
Sc: 0.494 0.494 0.504
Tl: 0.743 0.743 0.285

No. 3
## SmTmSc2In4 (PBE-GGA)

Data for a relaxed structure of SmTmSc2In4.

Summary:
Energy relative to the elements, eV/atom: -0.42

Cell: 9.015 9.015 9.015 Å, 33.46 33.46 33.46°
Sites, in units of the cell vectors:
Sm: 0.000 0.000 0.000
Tm: 0.500 0.500 0.500
Sc: 0.250 0.250 0.250
Sc: 0.750 0.750 0.750
In: 0.126 0.126 0.126
In: 0.377 0.377 0.377
In: 0.623 0.623 0.623
In: 0.874 0.874 0.874